Record 1
Ba2Mg6InPt | PBE-GGA | optimized geometry

Fermi-level density of states: 0.811 states/eV/atom
total moment: 0.02 Bohr magnetons per cell
electronic total energy: -2.434 eV per atom
volume: 30.8 Å³/atom
theoretical density: 3940 kg/m3
space group: No. 225
formation enthalpy at 0 K: -0.2148 eV per atom

Cell: 7.579 7.579 7.579 Å, 60.00 60.00 60.00°
Sites, in units of the cell vectors:
Ba  0.250  0.250  0.250
Ba  0.750  0.750  0.750
Mg  0.236  0.236  0.764
Mg  0.236  0.764  0.236
Mg  0.236  0.764  0.764
Mg  0.764  0.236  0.236
Mg  0.764  0.236  0.764
Mg  0.764  0.764  0.236
In  0.500  0.500  0.500
Pt  0.000  0.000  0.000

=====

Record 2
Ba2MgInPt | PBE-GGA | optimized geometry

Fermi-level density of states: 0.820 states/eV/atom
total moment: 0.00 Bohr magnetons per cell
electronic total energy: -3.205 eV per atom
volume: 39.9 Å³/atom
theoretical density: 5062 kg/m3
space group: No. 123
formation enthalpy at 0 K: -0.3613 eV per atom
polymorph energy (0 for the lowest one): 0.056 eV/atom

Cell: 6.179 6.179 5.231 Å, 90.00 90.00 90.00°
Sites, in units of the cell vectors:
Ba  0.000  0.500  0.000
Ba  0.500  0.000  0.000
Mg  0.000  0.000  0.500
In  0.500  0.500  0.500
Pt  0.500  0.500  0.000

=====

Record 3
RbBaMgIn | PBE-GGA | optimized geometry

Fermi-level density of states: 0.423 states/eV/atom
total moment: 0.00 Bohr magnetons per cell
electronic total energy: -1.845 eV per atom
volume: 35.8 Å³/atom
theoretical density: 4198 kg/m3
space group: No. 216
formation enthalpy at 0 K: -0.0391 eV per atom

Cell: 8.304 8.304 8.304 Å, 90.00 90.00 90.00°
Sites, in units of the cell vectors:
Rb  0.000  0.000  0.000
Rb  0.000  0.500  0.500
Rb  0.500  0.000  0.500
Rb  0.500  0.500  0.000
Ba  0.250  0.250  0.250
Ba  0.250  0.750  0.750
Ba  0.750  0.250  0.750
Ba  0.750  0.750  0.250
Mg  0.250  0.250  0.750
Mg  0.250  0.750  0.250
Mg  0.750  0.250  0.250
Mg  0.750  0.750  0.750
In  0.000  0.000  0.500
In  0.000  0.500  0.000
In  0.500  0.000  0.000
In  0.500  0.500  0.500

=====

Record 4
Ba2MgInRh | PBE-GGA | optimized geometry

Fermi-level density of states: 1.021 states/eV/atom
total moment: 0.00 Bohr magnetons per cell
electronic total energy: -3.262 eV per atom
volume: 36.7 Å³/atom
theoretical density: 4680 kg/m3
space group: No. 123
formation enthalpy at 0 K: -0.1561 eV per atom
polymorph energy (0 for the lowest one): 0.022 eV/atom

Cell: 6.028 6.028 5.044 Å, 90.00 90.00 90.00°
Sites, in units of the cell vectors:
Ba  0.000  0.500  0.000
Ba  0.500  0.000  0.000
Mg  0.000  0.000  0.500
In  0.500  0.500  0.500
Rh  0.000  0.000  0.000

=====

Record 5
Ba2MgInRh | PBE-GGA | optimized geometry

Fermi-level density of states: 0.778 states/eV/atom
total moment: 0.00 Bohr magnetons per cell
electronic total energy: -3.284 eV per atom
volume: 38.2 Å³/atom
theoretical density: 4491 kg/m3
space group: No. 123
formation enthalpy at 0 K: -0.1780 eV per atom
polymorph energy (0 for the lowest one): 0.000 eV/atom

Cell: 6.030 6.030 5.254 Å, 90.00 90.00 90.00°
Sites, in units of the cell vectors:
Ba  0.000  0.500  0.000
Ba  0.500  0.000  0.000
Mg  0.000  0.000  0.500
In  0.500  0.500  0.500
Rh  0.500  0.500  0.000

=====

Record 6
BaMgInRh | PBE-GGA | optimized geometry

Fermi-level density of states: 0.938 states/eV/atom
total moment: 0.00 Bohr magnetons per cell
electronic total energy: -3.738 eV per atom
volume: 28.6 Å³/atom
theoretical density: 5503 kg/m3
space group: No. 160
formation enthalpy at 0 K: -0.3357 eV per atom

Cell: 4.722 4.722 17.783 Å, 90.00 90.00 120.00°
Sites, in units of the cell vectors:
Ba  0.000  0.000  0.000
Ba  0.333  0.667  0.667
Ba  0.667  0.333  0.333
Mg  0.000  0.000  0.477
Mg  0.333  0.667  0.144
Mg  0.667  0.333  0.810
In  0.000  0.000  0.198
In  0.333  0.667  0.865
In  0.667  0.333  0.531
Rh  0.000  0.000  0.818
Rh  0.333  0.667  0.484
Rh  0.667  0.333  0.151

=====

Record 7
Ba2MgIn12Rh3 | PBE-GGA | optimized geometry

Fermi-level density of states: 0.720 states/eV/atom
total moment: 0.00 Bohr magnetons per cell
electronic total energy: -3.433 eV per atom
volume: 32.6 Å³/atom
theoretical density: 5622 kg/m3
space group: No. 166
formation enthalpy at 0 K: -0.0794 eV per atom

Cell: 8.846 8.846 8.846 Å, 69.49 69.49 69.49°
Sites, in units of the cell vectors:
Ba  0.104  0.104  0.104
Ba  0.896  0.896  0.896
Mg  0.500  0.500  0.500
In  0.132  0.631  0.631
In  0.226  0.226  0.576
In  0.226  0.576  0.226
In  0.369  0.369  0.868
In  0.369  0.868  0.369
In  0.424  0.774  0.774
In  0.576  0.226  0.226
In  0.631  0.132  0.631
In  0.631  0.631  0.132
In  0.774  0.424  0.774
In  0.774  0.774  0.424
In  0.868  0.369  0.369
Rh  0.000  0.500  0.500
Rh  0.500  0.000  0.500
Rh  0.500  0.500  0.000

=====

Record 8
Ba2Mg6InRh | PBE-GGA | optimized geometry

Fermi-level density of states: 0.619 states/eV/atom
total moment: 0.90 Bohr magnetons per cell
electronic total energy: -2.504 eV per atom
volume: 30.5 Å³/atom
theoretical density: 3474 kg/m3
space group: No. 71
formation enthalpy at 0 K: -0.1541 eV per atom

Cell: 7.556 7.556 7.556 Å, 120.04 119.95 90.01°
Sites, in units of the cell vectors:
Ba  0.250  0.250  0.000
Ba  0.750  0.750  0.000
Mg  0.267  0.233  0.500
Mg  0.267  0.767  0.034
Mg  0.267  0.767  0.500
Mg  0.733  0.233  0.500
Mg  0.733  0.233  0.966
Mg  0.733  0.767  0.500
In  0.000  0.500  0.500
Rh  0.500  0.000  0.500

=====

Record 9
BaMgIn2Ru | PBE-GGA | optimized geometry

Fermi-level density of states: 0.519 states/eV/atom
total moment: 0.00 Bohr magnetons per cell
electronic total energy: -3.897 eV per atom
volume: 28.1 Å³/atom
theoretical density: 5822 kg/m3
space group: No. 123
formation enthalpy at 0 K: -0.2428 eV per atom

Cell: 5.226 5.226 5.142 Å, 90.00 90.00 90.00°
Sites, in units of the cell vectors:
Ba  0.000  0.000  0.000
Mg  0.500  0.500  0.000
In  0.000  0.500  0.500
In  0.500  0.000  0.500
Ru  0.500  0.500  0.500

=====

Record 10
BaMg2InRu | PBE-GGA | optimized geometry

Fermi-level density of states: 0.922 states/eV/atom
total moment: 0.00 Bohr magnetons per cell
electronic total energy: -3.181 eV per atom
volume: 30.1 Å³/atom
theoretical density: 4438 kg/m3
space group: No. 123
formation enthalpy at 0 K: 0.2443 eV per atom
polymorph energy (0 for the lowest one): 0.393 eV/atom

Cell: 5.195 5.195 5.571 Å, 90.00 90.00 90.00°
Sites, in units of the cell vectors:
Ba  0.000  0.000  0.000
Mg  0.000  0.500  0.500
Mg  0.500  0.000  0.500
In  0.500  0.500  0.000
Ru  0.000  0.000  0.500

=====

What did the seventh record say?
Ba2MgIn12Rh3 | PBE-GGA | optimized geometry

Fermi-level density of states: 0.720 states/eV/atom
total moment: 0.00 Bohr magnetons per cell
electronic total energy: -3.433 eV per atom
volume: 32.6 Å³/atom
theoretical density: 5622 kg/m3
space group: No. 166
formation enthalpy at 0 K: -0.0794 eV per atom

Cell: 8.846 8.846 8.846 Å, 69.49 69.49 69.49°
Sites, in units of the cell vectors:
Ba  0.104  0.104  0.104
Ba  0.896  0.896  0.896
Mg  0.500  0.500  0.500
In  0.132  0.631  0.631
In  0.226  0.226  0.576
In  0.226  0.576  0.226
In  0.369  0.369  0.868
In  0.369  0.868  0.369
In  0.424  0.774  0.774
In  0.576  0.226  0.226
In  0.631  0.132  0.631
In  0.631  0.631  0.132
In  0.774  0.424  0.774
In  0.774  0.774  0.424
In  0.868  0.369  0.369
Rh  0.000  0.500  0.500
Rh  0.500  0.000  0.500
Rh  0.500  0.500  0.000

=====

Q: What is the total moment in the third record?
A: 0.00 Bohr magnetons per cell